Here is a relaxed structure of BaMnSeF2 from Alexandria. Energies are from PBE with a Hubbard U.

Cell lengths 6.1113, 6.1113, 7.4021 Å; angles 114.38, 114.38, 90.00 degrees
Site moments in Bohr magnetons follow the coordinates.
Sites, in units of the cell vectors:
Ba (0.8194, 0.3193, 0.6387)  0.01
Ba (0.3194, 0.8194, 0.6388)  0.01
Mn (0.0179, 0.0179, 0.0358)  4.66
Mn (0.5179, 0.5179, 0.0358)  4.66
Se (0.7271, 0.7271, 0.4542)  0.01
Se (0.2271, 0.2271, 0.4542)  0.01
F (0.2180, 0.7180, 0.9358)  0.03
F (0.7181, 0.7179, 0.9359)  0.03
F (0.7178, 0.2178, 0.9358)  0.03
F (0.2179, 0.2181, 0.9359)  0.03

Results
- SG: P4mm (99)
- DFT total energy: -5.77 eV per atom